# 1
TbU2C3: relaxed, PBE.

a = 3.546 Å, b = 5.063 Å, c = 10.398 Å
α = 90.00°, β = 90.00°, γ = 90.00°
Space group Immm (No. 71)
Inequivalent atoms, fractional coordinates:
Tb (0.000, 0.000, 0.000) [2 per cell]
U (0.000, 0.000, 0.336) [4 per cell]
C (0.000, 0.500, 0.000) [2 per cell]
C (0.000, 0.500, 0.313) [4 per cell]

- Energy of formation from the pure elements: -1.1 eV/f.u.
- DOS(E_F): 1.19 states/eV per atom
- Offset from the most stable computed form: 0.000 eV/atom

# 2
Tb2UC3: relaxed, PBE.

a = 6.227 Å, b = 10.784 Å, c = 6.176 Å
α = 90.00°, β = 109.68°, γ = 90.00°
Space group C2/m (No. 12)
Inequivalent atoms, fractional coordinates:
Tb (0.000, 0.000, 0.000) [2 per cell]
Tb (0.000, 0.165, 0.500) [4 per cell]
Tb (0.000, 0.500, 0.500) [2 per cell]
U (0.000, 0.333, 0.000) [4 per cell]
C (0.216, 0.500, 0.223) [4 per cell]
C (0.247, 0.320, 0.780) [8 per cell]

- Energy of formation from the pure elements: -1.6 eV/f.u.
- DOS(E_F): 0.27 states/eV per atom

# 3
TbU2WC4: relaxed, PBE.

a = 3.604 Å, b = 11.645 Å, c = 11.570 Å
α = 90.00°, β = 90.00°, γ = 90.00°
Space group Cmcm (No. 63)
Inequivalent atoms, fractional coordinates:
Tb (0.000, 0.130, 0.250) [4 per cell]
U (0.000, 0.373, 0.042) [8 per cell]
W (0.000, 0.134, 0.750) [4 per cell]
C (0.000, 0.000, 0.000) [4 per cell]
C (0.000, 0.255, 0.620) [8 per cell]
C (0.000, 0.453, 0.250) [4 per cell]

- Energy of formation from the pure elements: 0.1 eV/f.u.
- DOS(E_F): 1.10 states/eV per atom

# 4
Tb2VC: relaxed, PBE.

a = 3.4611 Å, b = 3.4611 Å, c = 26.6444 Å
α = 90.00°, β = 90.00°, γ = 120.00°
Space group R-3m (No. 166, hexagonal axes)
Inequivalent atoms, fractional coordinates:
Tb (0.0000, 0.0000, 0.1148) [6 per cell]
V (0.0000, 0.0000, 0.0000) [3 per cell]
C (0.0000, 0.0000, 0.5000) [3 per cell]

- Energy of formation from the pure elements: 1.7 eV/f.u.
- DOS(E_F): 1.24 states/eV per atom